Record 1
{"formula": "LiLa2SiN", "functional": "PBE", "state": "relaxed", "crystal_system": "tetragonal", "vol_a3_per_atom": 21.462, "lattice": [[-2.1777, 3.6944, -2.6776], [-4.4848, -2.2790, 0.5031], [-0.6970, 2.1524, 3.5366]], "species": ["Si", "N", "Li", "La", "La"], "frac_coords": [[0.5000, 0.5000, 0.5000], [0.0000, 0.0000, 0.0000], [0.0000, 0.0000, 0.5000], [0.0000, 0.5000, 0.0000], [0.5000, 0.0000, 0.0000]]}

Record 2
{"formula": "LiLa2SnN", "functional": "PBE", "state": "relaxed", "crystal_system": "tetragonal", "vol_a3_per_atom": 23.504, "lattice": [[5.1024, 0.0000, 0.0000], [0.0000, 5.1024, 0.0000], [0.0000, 0.0000, 4.5140]], "species": ["N", "Li", "Sn", "La", "La"], "frac_coords": [[0.0000, 0.0000, 0.0000], [0.0000, 0.0000, 0.5000], [0.5000, 0.5000, 0.5000], [0.0000, 0.5000, 0.0000], [0.5000, 0.0000, 0.0000]]}

Record 3
{"formula": "Sr2LiLaN", "functional": "PBE", "state": "relaxed", "crystal_system": "tetragonal", "vol_a3_per_atom": 30.607, "lattice": [[-2.4135, -3.7414, -3.3817], [4.8704, -0.7561, -2.6395], [1.1462, -3.5772, 3.1397]], "species": ["Sr", "Sr", "N", "Li", "La"], "frac_coords": [[0.0000, 0.5000, 0.0000], [0.5000, 0.0000, 0.0000], [0.0000, 0.0000, 0.0000], [0.5000, 0.5000, 0.5000], [0.0000, 0.0000, 0.5000]]}

Record 4
{"formula": "LiLa2TaN", "functional": "PBE", "state": "relaxed", "crystal_system": "tetragonal", "vol_a3_per_atom": 23.345, "lattice": [[-2.8663, 1.9127, -4.0786], [3.8508, -1.4683, -3.3948], [-1.7926, -3.6530, -0.4534]], "species": ["N", "La", "La", "Li", "Ta"], "frac_coords": [[0.0000, 0.0000, 0.0000], [0.0000, 0.5000, 0.0000], [0.5000, 0.0000, 0.0000], [0.5000, 0.5000, 0.5000], [0.0000, 0.0000, 0.5000]]}

Record 5
{"formula": "LiLaTa4N8", "functional": "PBE", "state": "relaxed", "crystal_system": "trigonal", "vol_a3_per_atom": 13.318, "lattice": [[-3.8395, 4.7842, 1.7511], [-1.4012, 0.8733, 6.1621], [2.4488, 5.0689, 3.1407]], "species": ["Li", "La", "Ta", "Ta", "Ta", "Ta", "N", "N", "N", "N", "N", "N", "N", "N"], "frac_coords": [[0.0017, 0.0017, 0.9949], [0.3798, 0.3798, 0.8607], [0.6218, 0.6218, 0.1345], [0.0034, 0.4838, 0.5095], [0.4838, 0.0034, 0.5095], [0.0034, 0.0034, 0.5095], [0.2393, 0.8151, 0.7063], [0.8151, 0.2393, 0.7063], [0.2393, 0.2393, 0.7063], [0.2341, 0.2341, 0.2978], [0.7368, 0.2478, 0.2787], [0.2478, 0.7368, 0.2787], [0.7368, 0.7368, 0.2787], [0.7571, 0.7571, 0.7287]]}

Record 6
{"formula": "LiLa2Tc2N6", "functional": "PBE", "state": "relaxed", "crystal_system": "trigonal", "vol_a3_per_atom": 15.256, "lattice": [[-0.4601, -2.1903, 5.1659], [4.4303, 0.0271, 3.4738], [-0.4024, 4.7324, 5.0384]], "species": ["Li", "La", "La", "Tc", "Tc", "N", "N", "N", "N", "N", "N"], "frac_coords": [[0.0000, 0.0000, 0.0000], [0.7916, 0.7916, 0.6251], [0.2084, 0.2084, 0.3749], [0.3975, 0.3975, 0.8076], [0.6025, 0.6025, 0.1924], [0.7410, 0.7410, 0.2907], [0.2273, 0.7410, 0.2907], [0.7410, 0.2273, 0.2907], [0.2590, 0.7727, 0.7093], [0.7727, 0.2590, 0.7093], [0.2590, 0.2590, 0.7093]]}

Record 7
{"formula": "LiLaTcN3", "functional": "PBE", "state": "relaxed", "crystal_system": "orthorhombic", "vol_a3_per_atom": 13.636, "lattice": [[-3.0488, -1.0606, 1.0655], [1.2097, -3.1921, -5.1384], [3.5641, -5.7893, 4.4355]], "species": ["Li", "Li", "La", "La", "Tc", "Tc", "N", "N", "N", "N", "N", "N"], "frac_coords": [[0.0000, 0.0000, 0.5000], [0.0000, 0.0000, 0.0000], [0.6992, 0.3985, 0.7500], [0.3008, 0.6015, 0.2500], [0.4410, 0.8819, 0.7500], [0.5590, 0.1181, 0.2500], [0.6429, 0.2858, 0.4339], [0.3571, 0.7142, 0.5661], [0.3571, 0.7142, 0.9339], [0.6429, 0.2858, 0.0661], [0.0407, 0.0813, 0.7500], [0.9593, 0.9187, 0.2500]]}

Record 8
{"formula": "LiLaTeN2", "functional": "PBE", "state": "relaxed", "crystal_system": "tetragonal", "vol_a3_per_atom": 26.168, "relative_energy_mev_per_atom": 0, "lattice": [[-1.4543, 2.4394, -3.3074], [-3.9866, -1.6898, 0.5066], [-1.5770, 5.0433, 4.4132]], "species": ["N", "N", "Te", "Li", "La"], "frac_coords": [[0.0000, 0.5000, 0.0000], [0.5000, 0.0000, 0.0000], [0.0000, 0.0000, 0.5000], [0.5000, 0.5000, 0.5000], [0.0000, 0.0000, 0.0000]]}

Number 1: calculated total energy -5.93 eV per atom. Number 2: calculated total energy -5.74 eV per atom. Number 3: calculated total energy -4.07 eV per atom. Number 4: calculated total energy -6.79 eV per atom. Number 5: calculated total energy -9.62 eV per atom. Number 6: calculated total energy -7.91 eV per atom. Number 7: calculated total energy -7.61 eV per atom. Number 8: calculated total energy -4.83 eV per atom.